# Pm2GeAs | the Alexandria database | GGA-PBE | optimized geometry
# D(E_F)   2.3 states/eV/cell
# DFT formation energy   -0.837 eV per atom
# E_tot   -5.529 eV per atom
data_Pm2GeAs
_chemical_formula_sum 'Pm2 Ge1 As1'
_symmetry_space_group_name_H-M 'P 4/m m m'
_symmetry_Int_Tables_number 123
_symmetry_space_group_name_Hall '-P 4 2'
_cell_length_a 3.5962
_cell_length_b 3.5962
_cell_length_c 7.6398
_cell_angle_alpha 90.00
_cell_angle_beta 90.00
_cell_angle_gamma 90.00
loop_
_atom_site_label
_atom_site_type_symbol
_atom_site_fract_x
_atom_site_fract_y
_atom_site_fract_z
_atom_site_occupancy
Pm1 Pm 0.0000 0.0000 0.2339 1
Ge1 Ge 0.5000 0.5000 0.5000 1
As1 As 0.5000 0.5000 0.0000 1